DFT (PBE+U) results for a geometry-optimized NaPr2MoO5 structure.

abc: 6.9790 6.9790 5.8262
angles: 90.00 90.00 90.00
Sites, in units of the cell vectors:
Na 0.0000 0.0000 0.0000
Na 0.5000 0.5000 0.0000
Pr 0.1780 0.3220 0.5000
Pr 0.3220 0.8220 0.5000
Pr 0.6780 0.1780 0.5000
Pr 0.8220 0.6780 0.5000
Mo 0.0000 0.5000 0.0000
Mo 0.5000 0.0000 0.0000
O 0.0000 0.0000 0.5000
O 0.1362 0.6362 0.2468
O 0.1362 0.6362 0.7532
O 0.3638 0.1362 0.2468
O 0.3638 0.1362 0.7532
O 0.5000 0.5000 0.5000
O 0.6362 0.8638 0.2468
O 0.6362 0.8638 0.7532
O 0.8638 0.3638 0.2468
O 0.8638 0.3638 0.7532

Results
The crystal system is tetragonal. The calculation puts the final energy at -127.53 eV for the cell shown.